1.
{
  "formula": "SrCa2Pt",
  "functional": "PBE",
  "state": "relaxed",
  "final_energy_ev_per_atom": -3.38,
  "magnetic_moment_mub_per_cell": 0.00,
  "mass_density_g_cm3": 4.37,
  "space_group": "No. 44",
  "lattice_angstrom": [[-5.018, 5.012, -4.070], [-4.752, -0.600, -6.628], [2.595, -2.260, 7.418]],
  "species": ["Ca", "Ca", "Pt", "Sr"],
  "frac_coords": [[0.996, 0.996, 0.000], [0.342, 0.842, 0.500], [0.496, 0.496, 0.000], [0.666, 0.166, 0.500]]
}

2.
{
  "formula": "SrCa3Pt",
  "functional": "PBE",
  "state": "relaxed",
  "final_energy_ev_per_atom": -3.23,
  "magnetic_moment_mub_per_cell": 0.00,
  "mass_density_g_cm3": 3.81,
  "space_group": "No. 38",
  "lattice_angstrom": [[-1.067, 0.075, -4.072], [9.115, -0.476, -2.398], [-3.694, -8.649, 0.808]],
  "species": ["Sr", "Sr", "Ca", "Ca", "Ca", "Ca", "Ca", "Ca", "Pt", "Pt"],
  "frac_coords": [[0.442, 0.768, 0.752], [0.442, 0.361, 0.160], [0.442, 0.065, 0.455], [0.942, 0.399, 0.545], [0.942, 0.731, 0.366], [0.942, 0.565, 0.956], [0.942, 0.975, 0.121], [0.942, 0.154, 0.790], [0.442, 0.776, 0.166], [0.442, 0.354, 0.744]]
}

3.
{
  "formula": "SrCa2Pt",
  "functional": "PBE",
  "state": "relaxed",
  "final_energy_ev_per_atom": -3.13,
  "magnetic_moment_mub_per_cell": 0.00,
  "mass_density_g_cm3": 5.07,
  "space_group": "No. 139",
  "lattice_angstrom": [[-4.016, -3.828, -2.934], [2.142, -5.779, -1.188], [-0.231, 3.762, 5.018]],
  "species": ["Pt", "Sr", "Ca", "Ca"],
  "frac_coords": [[0.250, 0.750, 0.500], [0.750, 0.250, 0.500], [0.000, 0.000, 0.000], [0.500, 0.500, 0.000]]
}

4.
{
  "formula": "Sr2CaPt",
  "functional": "PBE",
  "state": "relaxed",
  "final_energy_ev_per_atom": -3.41,
  "magnetic_moment_mub_per_cell": 0.00,
  "mass_density_g_cm3": 4.81,
  "space_group": "No. 62",
  "lattice_angstrom": [[-4.372, 5.485, -0.537], [-4.075, -2.633, 6.292], [6.001, 5.384, 6.139]],
  "species": ["Pt", "Pt", "Pt", "Pt", "Ca", "Ca", "Ca", "Ca", "Sr", "Sr", "Sr", "Sr", "Sr", "Sr", "Sr", "Sr"],
  "frac_coords": [[0.026, 0.374, 0.250], [0.526, 0.126, 0.750], [0.474, 0.874, 0.250], [0.974, 0.626, 0.750], [0.338, 0.449, 0.750], [0.662, 0.551, 0.250], [0.838, 0.051, 0.250], [0.162, 0.949, 0.750], [0.328, 0.170, 0.432], [0.828, 0.330, 0.932], [0.172, 0.670, 0.432], [0.328, 0.170, 0.068], [0.672, 0.830, 0.568], [0.828, 0.330, 0.568], [0.172, 0.670, 0.068], [0.672, 0.830, 0.932]]
}